Record 1
This record from Alexandria describes a relaxed Pr4SnSbN crystal. The functional is GGA-PBE.

Properties
ΔE_f (raw) (eV/atom): -0.932
Electronic total energy (eV/atom): -6.01

Cell lengths 6.967, 6.960, 9.061 Å; angles 90.00, 112.61, 90.00 degrees
Fractional coordinates of all 14 atoms:
Pr 0.913 0.250 0.826
Pr 0.413 0.750 0.826
Pr 0.087 0.750 0.174
Pr 0.587 0.250 0.174
Pr 0.500 0.500 0.500
Pr 0.000 0.000 0.500
Pr 0.500 0.000 0.500
Pr 0.000 0.500 0.500
Sn 0.108 0.250 0.216
Sn 0.892 0.750 0.784
Sb 0.609 0.750 0.218
Sb 0.391 0.250 0.782
N 0.250 0.750 0.501
N 0.750 0.250 0.499



Record 2
This record from Alexandria describes a relaxed Sr2Pr4Sb3N2 crystal. The functional is GGA-PBE.

Properties
ΔE_f (raw) (eV/atom): -1.099
Electronic total energy (eV/atom): -5.78

Cell lengths 4.965, 4.965, 13.603 Å; angles 100.52, 100.52, 90.00 degrees
Fractional coordinates of all 11 atoms:
Sr 0.305 0.305 0.610
Sr 0.695 0.695 0.390
Pr 0.416 0.916 0.832
Pr 0.916 0.416 0.832
Pr 0.084 0.584 0.168
Pr 0.584 0.084 0.168
Sb 0.000 0.000 0.000
Sb 0.174 0.174 0.347
Sb 0.826 0.826 0.653
N 0.402 0.402 0.805
N 0.598 0.598 0.195



Record 3
This record from Alexandria describes a relaxed PrThSbN crystal. The functional is GGA-PBE.

Properties
ΔE_f (raw) (eV/atom): -0.981
Electronic total energy (eV/atom): -7.14

Cell lengths 4.088, 4.088, 15.094 Å; angles 82.22, 82.22, 60.00 degrees
Fractional coordinates of all 8 atoms:
Pr 0.759 0.759 0.722
Pr 0.241 0.241 0.278
Th 0.000 0.000 0.000
Th 0.500 0.500 0.500
Sb 0.620 0.620 0.139
Sb 0.380 0.380 0.861
N 0.190 0.190 0.430
N 0.810 0.810 0.570



Record 4
This record from Alexandria describes a relaxed Pr4Th2Sb3N2 crystal. The functional is GGA-PBE.

Properties
ΔE_f (raw) (eV/atom): -1.075
Electronic total energy (eV/atom): -6.80

Cell lengths 4.809, 4.809, 13.629 Å; angles 100.16, 100.16, 90.00 degrees
Fractional coordinates of all 11 atoms:
Pr 0.419 0.919 0.837
Pr 0.919 0.419 0.837
Pr 0.081 0.581 0.163
Pr 0.581 0.081 0.163
Th 0.307 0.307 0.613
Th 0.693 0.693 0.387
Sb 0.000 0.000 0.000
Sb 0.178 0.178 0.357
Sb 0.822 0.822 0.643
N 0.390 0.390 0.779
N 0.610 0.610 0.221



Record 5
This record from Alexandria describes a relaxed Pr2USbN5 crystal. The functional is GGA-PBE.

Properties
ΔE_f (raw) (eV/atom): -0.813
Electronic total energy (eV/atom): -8.21

Cell lengths 3.476, 8.414, 9.818 Å; angles 90.00, 90.00, 101.92 degrees
Fractional coordinates of all 18 atoms:
Pr 0.875 0.749 0.800
Pr 0.120 0.241 0.708
Pr 0.125 0.251 0.300
Pr 0.880 0.759 0.208
U 0.778 0.556 0.505
U 0.222 0.444 0.005
Sb 0.516 0.032 0.996
Sb 0.484 0.968 0.496
N 0.349 0.698 0.998
N 0.708 0.417 0.866
N 0.504 0.008 0.785
N 0.284 0.569 0.644
N 0.910 0.820 0.522
N 0.651 0.302 0.498
N 0.292 0.583 0.366
N 0.496 0.992 0.285
N 0.716 0.431 0.144
N 0.090 0.180 0.022



Record 6
This record from Alexandria describes a relaxed Pr2USb2N2 crystal. The functional is GGA-PBE.

Properties
ΔE_f (raw) (eV/atom): -1.078
Electronic total energy (eV/atom): -7.61

Cell lengths 4.371, 4.371, 8.858 Å; angles 104.28, 104.28, 90.00 degrees
Fractional coordinates of all 7 atoms:
Pr 0.386 0.386 0.771
Pr 0.614 0.614 0.229
U 0.000 0.000 0.000
Sb 0.187 0.187 0.373
Sb 0.813 0.813 0.627
N 0.000 0.500 0.000
N 0.500 0.000 0.000



Record 7
This record from Alexandria describes a relaxed Pr2USbN2 crystal. The functional is GGA-PBE.

Properties
ΔE_f (raw) (eV/atom): -1.107
Electronic total energy (eV/atom): -8.04

Cell lengths 4.406, 4.406, 6.725 Å; angles 90.00, 90.00, 90.00 degrees
Fractional coordinates of all 6 atoms:
Pr 0.500 0.500 0.759
Pr 0.500 0.500 0.241
U 0.000 0.000 0.000
Sb 0.000 0.000 0.500
N 0.500 0.000 0.000
N 0.000 0.500 0.000



Record 8
This record from Alexandria describes a relaxed PrY2SbN4 crystal. The functional is GGA-PBE.

Properties
ΔE_f (raw) (eV/atom): -0.776
Electronic total energy (eV/atom): -7.67

Cell lengths 3.358, 6.945, 11.718 Å; angles 90.00, 90.00, 103.99 degrees
Fractional coordinates of all 16 atoms:
Pr 0.235 0.471 0.750
Pr 0.765 0.529 0.250
Y 0.369 0.738 0.498
Y 0.631 0.262 0.998
Y 0.631 0.262 0.502
Y 0.369 0.738 0.002
Sb 0.985 0.969 0.750
Sb 0.015 0.031 0.250
N 0.213 0.427 0.106
N 0.787 0.573 0.606
N 0.787 0.573 0.894
N 0.213 0.427 0.394
N 0.000 0.000 0.500
N 0.000 0.000 0.000
N 0.585 0.171 0.750
N 0.415 0.829 0.250



Record 9
This record from Alexandria describes a relaxed Pr4Y2Sb3N2 crystal. The functional is GGA-PBE.

Properties
ΔE_f (raw) (eV/atom): -1.110
Electronic total energy (eV/atom): -6.66

Cell lengths 4.833, 4.833, 13.318 Å; angles 100.45, 100.45, 90.00 degrees
Fractional coordinates of all 11 atoms:
Pr 0.416 0.916 0.831
Pr 0.916 0.416 0.831
Pr 0.084 0.584 0.169
Pr 0.584 0.084 0.169
Y 0.306 0.306 0.612
Y 0.694 0.694 0.388
Sb 0.000 0.000 0.000
Sb 0.182 0.182 0.364
Sb 0.818 0.818 0.636
N 0.391 0.391 0.782
N 0.609 0.609 0.218



Record 10
This record from Alexandria describes a relaxed Pr2Sc4N crystal. The functional is GGA-PBE.

Properties
ΔE_f (raw) (eV/atom): -0.357
Electronic total energy (eV/atom): -6.53

Cell lengths 4.429, 4.429, 9.668 Å; angles 76.76, 76.76, 90.00 degrees
Fractional coordinates of all 7 atoms:
Pr 0.683 0.683 0.634
Pr 0.317 0.317 0.366
Sc 0.881 0.881 0.239
Sc 0.119 0.119 0.761
Sc 0.000 0.500 0.000
Sc 0.500 0.000 0.000
N 0.000 0.000 0.000



Record 11
This record from Alexandria describes a relaxed PrSc2N crystal. The functional is GGA-PBE.

Properties
ΔE_f (raw) (eV/atom): -0.231
ΔE to the lowest computed polymorph (meV per atom): 577
Electronic total energy (eV/atom): -6.67

Cell lengths 3.006, 3.006, 8.596 Å; angles 90.00, 90.00, 90.00 degrees
Fractional coordinates of all 4 atoms:
Pr 0.500 0.500 0.500
Sc 0.000 0.000 0.852
Sc 0.000 0.000 0.148
N 0.500 0.500 0.000



Record 12
This record from Alexandria describes a relaxed Pr2ScN crystal. The functional is GGA-PBE.

Properties
ΔE_f (raw) (eV/atom): -0.427
Electronic total energy (eV/atom): -6.48

Cell lengths 3.556, 3.556, 9.689 Å; angles 79.43, 79.43, 60.00 degrees
Fractional coordinates of all 4 atoms:
Pr 0.116 0.116 0.651
Pr 0.884 0.884 0.349
Sc 0.000 0.000 0.000
N 0.500 0.500 0.500